# TiCrPb PBE relaxed
# - DOS at the Fermi energy (states/eV/atom) = 0.726
# - ΔH_f (0 K) (eV per formula unit) = 0.7
# - ρ (kg/m³) = 9067
# - offset from the most stable computed form (meV/atom) = 56
data_TiCrPb
_chemical_formula_sum 'Ti4 Cr4 Pb4'
_cell_length_a 7.461
_cell_length_b 3.154
_cell_length_c 10.952
_cell_angle_alpha 90.00
_cell_angle_beta 119.21
_cell_angle_gamma 90.00
_symmetry_space_group_name_H-M 'P 1'
_symmetry_Int_Tables_number 1
_symmetry_space_group_name_Hall 'P 1'
loop_
_atom_site_label
_atom_site_type_symbol
_atom_site_fract_x
_atom_site_fract_y
_atom_site_fract_z
Pb1 Pb 0.692 0.000 0.674
Pb2 Pb 0.308 0.000 0.326
Pb3 Pb 0.692 0.500 0.174
Pb4 Pb 0.308 0.500 0.826
Cr1 Cr 0.992 0.000 0.406
Cr2 Cr 0.008 0.000 0.594
Cr3 Cr 0.992 0.500 0.906
Cr4 Cr 0.008 0.500 0.094
Ti1 Ti 0.706 0.000 0.944
Ti2 Ti 0.294 0.000 0.056
Ti3 Ti 0.706 0.500 0.444
Ti4 Ti 0.294 0.500 0.556

# Ba2SnHg8 PBE relaxed
# - DOS at the Fermi energy (states/eV/atom) = 0.552
# - ΔH_f (0 K) (eV per formula unit) = -3.4
# - ρ (kg/m³) = 10164
# - offset from the most stable computed form (meV/atom) = 0
data_Ba2SnHg8
_chemical_formula_sum 'Ba2 Sn1 Hg8'
_cell_length_a 5.522
_cell_length_b 6.909
_cell_length_c 9.635
_cell_angle_alpha 111.06
_cell_angle_beta 106.71
_cell_angle_gamma 89.84
_symmetry_space_group_name_H-M 'P 1'
_symmetry_Int_Tables_number 1
_symmetry_space_group_name_Hall 'P 1'
loop_
_atom_site_label
_atom_site_type_symbol
_atom_site_fract_x
_atom_site_fract_y
_atom_site_fract_z
Ba1 Ba 0.620 0.620 0.240
Ba2 Ba 0.380 0.380 0.760
Sn1 Sn 0.500 0.000 0.000
Hg1 Hg 0.177 0.398 0.354
Hg2 Hg 0.823 0.044 0.646
Hg3 Hg 0.998 0.260 0.000
Hg4 Hg 0.680 0.180 0.361
Hg5 Hg 0.320 0.820 0.639
Hg6 Hg 0.002 0.740 0.000
Hg7 Hg 0.177 0.956 0.354
Hg8 Hg 0.823 0.602 0.646

# BaLiCe2Cl8 PBE relaxed
# - DOS at the Fermi energy (states/eV/atom) = 1.246
# - total DFT energy (no corrections) (eV per cell) = -55.92
# - ρ (kg/m³) = 3045
data_BaLiCe2Cl8
_chemical_formula_sum 'Ba1 Li1 Ce2 Cl8'
_cell_length_a 6.799
_cell_length_b 6.671
_cell_length_c 8.522
_cell_angle_alpha 90.01
_cell_angle_beta 89.99
_cell_angle_gamma 87.46
_symmetry_space_group_name_H-M 'P 1'
_symmetry_Int_Tables_number 1
_symmetry_space_group_name_Hall 'P 1'
loop_
_atom_site_label
_atom_site_type_symbol
_atom_site_fract_x
_atom_site_fract_y
_atom_site_fract_z
Ba1 Ba 0.000 0.000 0.500
Li1 Li 0.000 0.000 0.000
Ce1 Ce 0.499 0.501 0.778
Ce2 Ce 0.501 0.499 0.222
Cl1 Cl 0.178 0.780 0.218
Cl2 Cl 0.691 0.733 0.000
Cl3 Cl 0.823 0.219 0.217
Cl4 Cl 0.822 0.220 0.782
Cl5 Cl 0.309 0.267 0.000
Cl6 Cl 0.177 0.781 0.783
Cl7 Cl 0.655 0.703 0.500
Cl8 Cl 0.345 0.297 0.500

# KY2CuO4 PBE relaxed
# - DOS at the Fermi energy (states/eV/atom) = 0.000
# - total DFT energy (no corrections) (eV per cell) = -115.21
# - ρ (kg/m³) = 4779
data_KY2CuO4
_chemical_formula_sum 'K2 Y4 Cu2 O8'
_cell_length_a 3.467
_cell_length_b 6.084
_cell_length_c 11.839
_cell_angle_alpha 90.00
_cell_angle_beta 90.00
_cell_angle_gamma 106.55
_symmetry_space_group_name_H-M 'P 1'
_symmetry_Int_Tables_number 1
_symmetry_space_group_name_Hall 'P 1'
loop_
_atom_site_label
_atom_site_type_symbol
_atom_site_fract_x
_atom_site_fract_y
_atom_site_fract_z
K1 K 0.099 0.199 0.750
K2 K 0.901 0.801 0.250
Y1 Y 0.367 0.735 0.561
Y2 Y 0.633 0.265 0.061
Y3 Y 0.633 0.265 0.439
Y4 Y 0.367 0.735 0.939
Cu1 Cu 0.824 0.648 0.750
Cu2 Cu 0.176 0.352 0.250
O1 O 0.255 0.511 0.098
O2 O 0.745 0.489 0.598
O3 O 0.745 0.489 0.902
O4 O 0.255 0.511 0.402
O5 O 0.000 0.000 0.500
O6 O 0.000 0.000 0.000
O7 O 0.423 0.846 0.750
O8 O 0.577 0.154 0.250

# Zr5Cu4Ru PBE relaxed
# - DOS at the Fermi energy (states/eV/atom) = 1.218
# - ΔH_f (0 K) (eV per formula unit) = -2.1
# - ρ (kg/m³) = 7646
data_Zr5Cu4Ru
_chemical_formula_sum 'Zr5 Cu4 Ru1'
_cell_length_a 3.265
_cell_length_b 3.265
_cell_length_c 16.525
_cell_angle_alpha 90.00
_cell_angle_beta 90.00
_cell_angle_gamma 90.00
_symmetry_space_group_name_H-M 'P 1'
_symmetry_Int_Tables_number 1
_symmetry_space_group_name_Hall 'P 1'
loop_
_atom_site_label
_atom_site_type_symbol
_atom_site_fract_x
_atom_site_fract_y
_atom_site_fract_z
Zr1 Zr 0.500 0.500 0.099
Zr2 Zr 0.500 0.500 0.299
Zr3 Zr 0.500 0.500 0.500
Zr4 Zr 0.500 0.500 0.701
Zr5 Zr 0.500 0.500 0.901
Cu1 Cu 0.000 0.000 0.200
Cu2 Cu 0.000 0.000 0.400
Cu3 Cu 0.000 0.000 0.600
Cu4 Cu 0.000 0.000 0.800
Ru1 Ru 0.000 0.000 0.000

# Rb3Nd2CdS6 PBE relaxed
# - DOS at the Fermi energy (states/eV/atom) = 1.253
# - total DFT energy (no corrections) (eV per cell) = -54.31
# - ρ (kg/m³) = 4046
data_Rb3Nd2CdS6
_chemical_formula_sum 'Rb3 Nd2 Cd1 S6'
_cell_length_a 7.213
_cell_length_b 7.213
_cell_length_c 8.100
_cell_angle_alpha 98.52
_cell_angle_beta 98.52
_cell_angle_gamma 119.96
_symmetry_space_group_name_H-M 'P 1'
_symmetry_Int_Tables_number 1
_symmetry_space_group_name_Hall 'P 1'
loop_
_atom_site_label
_atom_site_type_symbol
_atom_site_fract_x
_atom_site_fract_y
_atom_site_fract_z
Rb1 Rb 0.165 0.835 0.500
Rb2 Rb 0.835 0.165 0.500
Rb3 Rb 0.500 0.500 0.500
Nd1 Nd 0.333 0.667 0.000
Nd2 Nd 0.667 0.333 0.000
Cd1 Cd 0.000 0.000 0.000
S1 S 0.934 0.605 0.803
S2 S 0.736 0.736 0.197
S3 S 0.066 0.395 0.197
S4 S 0.605 0.934 0.803
S5 S 0.264 0.264 0.803
S6 S 0.395 0.066 0.197

# Cr2Te2Cl PBE relaxed
# - DOS at the Fermi energy (states/eV/atom) = 0.403
# - ρ (kg/m³) = 6259
# - offset from the most stable computed form (meV/atom) = 0
data_Cr2Te2Cl
_chemical_formula_sum 'Cr2 Te2 Cl1'
_cell_length_a 3.545
_cell_length_b 3.545
_cell_length_c 8.703
_cell_angle_alpha 78.25
_cell_angle_beta 78.25
_cell_angle_gamma 90.00
_symmetry_space_group_name_H-M 'P 1'
_symmetry_Int_Tables_number 1
_symmetry_space_group_name_Hall 'P 1'
loop_
_atom_site_label
_atom_site_type_symbol
_atom_site_fract_x
_atom_site_fract_y
_atom_site_fract_z
Cr1 Cr 0.750 0.250 0.500
Cr2 Cr 0.250 0.750 0.500
Te1 Te 0.368 0.368 0.264
Te2 Te 0.632 0.632 0.736
Cl1 Cl 0.000 0.000 0.000

# La2CdCuIr PBE relaxed
# - DOS at the Fermi energy (states/eV/atom) = 0.599
# - ΔH_f (0 K) (eV per formula unit) = -1.2
# - ρ (kg/m³) = 7257
data_La2CdCuIr
_chemical_formula_sum 'La2 Cd1 Cu1 Ir1'
_cell_length_a 5.494
_cell_length_b 4.897
_cell_length_c 5.494
_cell_angle_alpha 90.00
_cell_angle_beta 90.00
_cell_angle_gamma 90.00
_symmetry_space_group_name_H-M 'P 1'
_symmetry_Int_Tables_number 1
_symmetry_space_group_name_Hall 'P 1'
loop_
_atom_site_label
_atom_site_type_symbol
_atom_site_fract_x
_atom_site_fract_y
_atom_site_fract_z
Cd1 Cd 0.500 0.500 0.500
Ir1 Ir 0.000 0.000 0.000
Cu1 Cu 0.000 0.500 0.000
La1 La 0.000 0.000 0.500
La2 La 0.500 0.000 0.000

no.,magnetic moment (μB per formula unit)
1,0.0
2,0.0
3,3.0
4,0.0
5,1.0
6,0.7
7,0.0
8,0.0